Entry 1:
Crystalline YTa2Te at its relaxed geometry, computed with PBE.

Output
* symmetry: P2/m (10)
* theoretical density: 11.144 Mg/m³
* formation energy from raw total energies: 10 kJ per mole of atoms
* crystal system: monoclinic

Geometry as POSCAR:
```
YTa2Te
1.0
4.8819 0.0000 0.0000
0.0000 3.5155 0.0000
-1.3728 0.0000 5.0216
Y Ta Te
1 2 1
Cartesian
0.0000 0.0000 0.0000
-0.6864 1.7577 2.5108
1.7546 0.0000 2.5108
2.4410 1.7577 0.0000
```

Entry 2:
Crystalline YTaTe2 at its relaxed geometry, computed with PBE.

Output
* symmetry: Pm (6)
* distance to the lowest polymorph of the same formula: 0.221 eV/atom
* theoretical density: 8.435 Mg/m³
* formation energy from raw total energies: -31 kJ per mole of atoms
* crystal system: monoclinic

Geometry as POSCAR:
```
YTaTe2
1.0
3.6893 0.0000 0.0000
0.0000 5.3516 0.0000
-1.8356 0.0000 5.2352
Y Ta Te
1 1 2
Cartesian
0.0000 0.0000 0.0000
1.8570 2.6758 2.0092
0.0122 2.6758 4.2799
1.8426 0.0000 2.2955
```

Entry 3:
Crystalline YTa4Te at its relaxed geometry, computed with PBE.

Output
* symmetry: F-43m (216)
* theoretical density: 11.994 Mg/m³
* formation energy from raw total energies: 31 kJ per mole of atoms
* crystal system: cubic

Geometry as POSCAR:
```
YTa4Te
1.0
0.0000 4.0226 4.0226
4.0226 0.0000 4.0226
4.0226 4.0226 0.0000
Y Ta Te
1 4 1
Cartesian
0.0000 0.0000 0.0000
5.0521 2.9931 2.9931
2.9931 5.0521 2.9931
2.9931 2.9931 5.0521
5.0521 5.0521 5.0521
2.0113 2.0113 2.0113
```